(1)
Here is a relaxed structure of InFe3W from Alexandria. Energies are from PBE.

```
InFe3W
1.0
-2.743 0.751 -3.539
1.095 -4.060 -1.711
-3.448 -1.887 2.272
Fe W In
3 1 1
direct
0.500 0.000 0.000
0.000 0.000 0.500
0.000 0.500 0.000
0.000 0.000 0.000
0.500 0.500 0.500
```

The relative energy among the computed polymorphs comes out at 0.0 meV/atom. The calculated formation energy is 1.3672 eV/atom. Its total magnetic moment is 4.88 μB per cell. The volume is 93.57 Å³ per cell. As for the space group: Pm-3m, No. 221. For the total energy, the calculation gives -6.849 eV per atom.


(2)
Here is a relaxed structure of In3FeW from Alexandria. Energies are from PBE.

```
In3FeW
1.0
5.269 0.000 0.000
0.000 5.269 0.000
0.000 0.000 5.269
W Fe In
1 1 3
direct
0.000 0.000 0.000
0.500 0.500 0.500
0.000 0.500 0.000
0.500 0.000 0.000
0.000 0.000 0.500
```

The relative energy among the computed polymorphs comes out at 0.0 meV/atom. The calculated formation energy is 1.3161 eV/atom. Its total magnetic moment is 3.74 μB per cell. The volume is 146.26 Å³ per cell. As for the space group: Pm-3m, No. 221. For the total energy, the calculation gives -4.610 eV per atom.


(3)
Here is a relaxed structure of InFeW from Alexandria. Energies are from PBE.

```
InFeW
1.0
-2.775 6.415 -0.695
-3.512 5.540 1.886
2.174 1.794 0.163
In Fe W
1 1 1
direct
0.339 0.339 0.661
0.007 0.007 0.993
0.654 0.654 0.346
```

The relative energy among the computed polymorphs comes out at 135.3 meV/atom. The calculated formation energy is 0.4468 eV/atom. Its total magnetic moment is 2.37 μB per cell. The volume is 49.60 Å³ per cell. As for the space group: Fmm2, No. 42. For the total energy, the calculation gives -7.605 eV per atom.


> Look up the total magnetic moment of the second one.

3.74 μB per cell


> Which value of relative energy among the computed polymorphs does entry 1 give?

0.0 meV/atom


What did the third record say?
Here is a relaxed structure of InFeW from Alexandria. Energies are from PBE.

```
InFeW
1.0
-2.775 6.415 -0.695
-3.512 5.540 1.886
2.174 1.794 0.163
In Fe W
1 1 1
direct
0.339 0.339 0.661
0.007 0.007 0.993
0.654 0.654 0.346
```

The relative energy among the computed polymorphs comes out at 135.3 meV/atom. The calculated formation energy is 0.4468 eV/atom. Its total magnetic moment is 2.37 μB per cell. The volume is 49.60 Å³ per cell. As for the space group: Fmm2, No. 42. For the total energy, the calculation gives -7.605 eV per atom.


Copy entry 1 word for word.
Here is a relaxed structure of InFe3W from Alexandria. Energies are from PBE.

```
InFe3W
1.0
-2.743 0.751 -3.539
1.095 -4.060 -1.711
-3.448 -1.887 2.272
Fe W In
3 1 1
direct
0.500 0.000 0.000
0.000 0.000 0.500
0.000 0.500 0.000
0.000 0.000 0.000
0.500 0.500 0.500
```

The relative energy among the computed polymorphs comes out at 0.0 meV/atom. The calculated formation energy is 1.3672 eV/atom. Its total magnetic moment is 4.88 μB per cell. The volume is 93.57 Å³ per cell. As for the space group: Pm-3m, No. 221. For the total energy, the calculation gives -6.849 eV per atom.